First-principles (GGA+U) data for an optimized crystal structure of AcAlV2O8, as listed in Alexandria via LeMat-Bulk.

POSCAR file:
```
AcAlV2O8
1.0
5.473 0.000 0.000
-2.736 4.739 0.000
0.000 0.000 6.748
Ac Al V O
1 1 2 8
Cartesian
0.000 0.000 0.000
0.000 0.000 3.374
0.000 3.160 5.038
2.736 1.580 1.709
0.000 1.479 4.565
-1.456 4.000 4.565
1.281 0.739 2.183
0.000 3.160 6.739
2.736 1.580 0.009
1.456 4.000 4.565
4.192 0.739 2.183
2.736 3.261 2.183
```

Computed properties:
As for the symmetry: No. 164. For the total energy, the calculation gives -0.5675 Ry/atom. For the calculated volume, the calculation gives 14.59 Å³ per atom.